Entry 1:
Crystalline CoMoBr4 at its relaxed geometry. Source: Alexandria, functional PBEsol.

The space group is F-43m (No. 216) and the conventional cell measures 8.477, 8.477 and 8.477 Å, with angles of 90.00, 90.00 and 90.00 degrees. Symmetry generates all atoms from Co at (0.000, 0.000, 0.000), Mo at (0.250, 0.250, 0.250) and Br at (0.126, 0.126, 0.626).



Entry 2:
Crystalline K2ZnSF at its relaxed geometry. Source: Alexandria, functional PBEsol.

The space group is P4/mmm (No. 123) and the conventional cell measures 5.948, 5.948 and 4.626 Å, with angles of 90.00, 90.00 and 90.00 degrees. Symmetry generates all atoms from K at (0.000, 0.500, 0.000), Zn at (0.000, 0.000, 0.500), S at (0.000, 0.000, 0.000) and F at (0.500, 0.500, 0.500).



Entry 3:
Crystalline TlGaCSe2 at its relaxed geometry. Source: Alexandria, functional PBEsol.

The space group is P4/mmm (No. 123) and the conventional cell measures 5.234, 5.234 and 3.781 Å, with angles of 90.00, 90.00 and 90.00 degrees. Symmetry generates all atoms from Tl at (0.000, 0.000, 0.000), Ga at (0.500, 0.500, 0.500), C at (0.500, 0.500, 0.000) and Se at (0.000, 0.500, 0.500).



Short version: size of the total moment = 26.7, 0.0, 0.0 Bohr magnetons per cell, in the order given.
Short version: VASP energy = -2.85, -3.07, -3.85 eV/atom, in the order given.